VASP calculation (GGA+U) on crystalline Mn3WO6 at its relaxed geometry.

```
20
Lattice="6.514 0.215 -0.148 -0.156 6.516 -0.148 0.203 0.215 6.512" Properties=species:S:1:pos:R:3 pbc="T T T"
Mn 3.331 0.343 4.810
Mn 0.059 4.994 3.067
Mn 4.811 3.345 -0.107
Mn 6.502 1.952 3.150
Mn 1.749 3.601 6.323
Mn 3.230 6.603 1.406
W 3.280 3.473 3.108
W 0.000 0.000 0.000
O 6.332 4.787 -0.130
O 4.767 0.484 6.330
O 0.108 6.594 4.419
O 3.141 3.526 1.163
O 3.445 1.529 3.073
O 1.341 3.337 3.274
O 0.229 2.159 6.346
O 1.793 6.462 -0.114
O 6.453 0.351 1.797
O 3.420 3.419 5.053
O 3.116 5.416 3.143
O 5.219 3.609 2.942
```

Computed properties:
The calculation puts the density at 5.33 g cm⁻³. The final energy comes out at -7.726 eV per atom.